GGA+U NiWI2O, optimized geometry; magnetization = 1.21 μB/f.u.; SG = No. 123; final energy = -3.358 eV/atom; crystal system = tetragonal
1.0
5.8912 0.0000 0.0000
0.0000 5.8912 0.0000
0.0000 0.0000 3.8804
Ni W I O
1 1 2 1
Direct
0.0000 0.0000 0.0000
0.5000 0.5000 0.5000
0.0000 0.5000 0.5000
0.5000 0.0000 0.5000
0.5000 0.5000 0.0000